(1)
BaYN: optimized geometry, PBE.

Cell and atoms, written as POSCAR:
```
BaYN
1.0
7.2396 -1.8046 0.0000
7.2396 1.8046 0.0000
-2.9595 0.0000 6.7983
Ba Y N
2 2 2
Direct
0.1085 0.1085 0.2472
0.8915 0.8915 0.7528
0.1687 0.1687 0.8170
0.8313 0.8313 0.1830
0.3397 0.3397 0.9988
0.6603 0.6603 0.0012
```

As for the total magnetization: 0.00 μB/cell. The calculation puts the volume at 29.60 Å³ per atom. As for the total energy: -6.21 eV/atom.

(2)
AcTb2PaN4: optimized geometry, PBE.

Cell and atoms, written as POSCAR:
```
AcTb2PaN4
1.0
6.1588 0.0000 0.0000
0.0000 3.5916 0.0000
-2.1050 0.0000 5.9702
Ac Tb Pa N
1 2 1 4
Direct
0.0000 0.0000 0.0000
0.5000 0.0000 0.5000
0.5000 0.5000 0.0000
0.0000 0.5000 0.5000
0.2464 0.0000 0.7262
0.2484 0.5000 0.2908
0.7516 0.5000 0.7092
0.7536 0.0000 0.2738
```

As for the total magnetization: 0.00 μB/cell. The calculation puts the volume at 16.51 Å³ per atom. As for the total energy: -8.47 eV/atom.

(3)
BaZn2Cu: optimized geometry, PBE.

Cell and atoms, written as POSCAR:
```
BaZn2Cu
1.0
3.3657 0.0000 0.0000
0.0000 3.3657 0.0000
0.0000 0.0000 7.5994
Ba Zn Cu
1 2 1
Direct
0.0000 0.0000 0.0000
0.5000 0.5000 0.3303
0.5000 0.5000 0.6697
0.0000 0.0000 0.5000
```

As for the total magnetization: 0.00 μB/cell. The value obtained for the formation energy is 0.058 eV per atom. The calculation puts the volume at 21.52 Å³ per atom. As for the total energy: -2.08 eV/atom.

The highest volume belongs to which entry?
BaYN

Which formula does entry 3 have?
BaZn2Cu

Look up the volume of the third one.
21.52 Å³ per atom